(1)
First-principles (PBE) data for an optimized crystal structure of La5Pm12Nd2, as listed in Alexandria.

abc: 9.4156 10.3053 8.9826
angles: 64.98 90.00 117.18
Sites, in units of the cell vectors:
La (0.0000, 0.0000, 0.5000)
La (0.7664, 0.5328, 0.3097)
Nd (0.3306, 0.0000, 0.0000)
La (0.7211, 0.4421, 0.7644)
Pm (0.3279, 0.2981, 0.0802)
Pm (0.9551, 0.9102, 0.1882)
Pm (0.4082, 0.2337, 0.5490)
Pm (0.5918, 0.7663, 0.4510)
Pm (0.8255, 0.2337, 0.5490)
Pm (0.5821, 0.1641, 0.2562)
Pm (0.0449, 0.0898, 0.8118)
La (0.2789, 0.5579, 0.2356)
Pm (0.6721, 0.7019, 0.9198)
Pm (0.1745, 0.7663, 0.4510)
Nd (0.6694, 0.0000, 0.0000)
La (0.2336, 0.4672, 0.6903)
Pm (0.9702, 0.2981, 0.0802)
Pm (0.0298, 0.7019, 0.9198)
Pm (0.4179, 0.8359, 0.7438)

## Properties
As for the electronic total energy: -4.6125 eV/atom. The energy relative to the elements is 186 meV/atom. Its density of states at the Fermi level is 28.48 states/eV/f.u. The energy above the lowest structure with this stoichiometry is 79 meV/atom. Its space group is No. 12.

=====

(2)
First-principles (PBE) data for an optimized crystal structure of La12Pm2Nd5, as listed in Alexandria.

abc: 6.3814 10.9947 11.0033
angles: 66.08 79.47 79.45
Sites, in units of the cell vectors:
La (0.7981, 0.4554, 0.9376)
La (0.9999, 0.8831, 0.8833)
La (0.2019, 0.0620, 0.5448)
La (0.6216, 0.1501, 0.6412)
Pm (0.0012, 0.2323, 0.7675)
La (0.3784, 0.8499, 0.3588)
La (0.2701, 0.4465, 0.4464)
La (0.3789, 0.3586, 0.8509)
La (0.2019, 0.5446, 0.0624)
La (0.7981, 0.9380, 0.4552)
Nd (0.8540, 0.3198, 0.3196)
Nd (0.5561, 0.7872, 0.7868)
Nd (0.5000, 0.0000, 0.0000)
Nd (0.4439, 0.2128, 0.2132)
La (0.0001, 0.1169, 0.1167)
La (0.6211, 0.6414, 0.1491)
La (0.7299, 0.5535, 0.5536)
Pm (0.9988, 0.7677, 0.2325)
Nd (0.1460, 0.6802, 0.6804)

## Properties
As for the electronic total energy: -4.7896 eV/atom. The energy relative to the elements is 77 meV/atom. Its density of states at the Fermi level is 29.25 states/eV/f.u. The energy above the lowest structure with this stoichiometry is 0 meV/atom. Its space group is No. 2.

=====

(3)
First-principles (PBE) data for an optimized crystal structure of La2Pm2Nd3, as listed in Alexandria.

abc: 3.6961 12.2748 6.3799
angles: 69.80 73.17 98.78
Sites, in units of the cell vectors:
La (0.8584, 0.1437, 0.4266)
Pm (0.2831, 0.7124, 0.1461)
Pm (0.7169, 0.2876, 0.8539)
Nd (0.0000, 0.0000, 0.0000)
La (0.1416, 0.8563, 0.5734)
Nd (0.5719, 0.4294, 0.2853)
Nd (0.4281, 0.5706, 0.7147)

## Properties
As for the electronic total energy: -4.7924 eV/atom. The energy relative to the elements is 16 meV/atom. Its density of states at the Fermi level is 12.37 states/eV/f.u. The energy above the lowest structure with this stoichiometry is 0 meV/atom. Its space group is No. 2.

=====

(4)
First-principles (PBE) data for an optimized crystal structure of La2Pm3Nd7, as listed in Alexandria.

abc: 3.6652 6.0422 19.4187
angles: 93.09 90.00 90.00
Sites, in units of the cell vectors:
Nd (0.5000, 0.7426, 0.4639)
Nd (0.0000, 0.0000, 0.0000)
La (0.5000, 0.2983, 0.7041)
Nd (0.5000, 0.8177, 0.8248)
Nd (0.0000, 0.6811, 0.1431)
Nd (0.5000, 0.2574, 0.5361)
Pm (0.5000, 0.5000, 0.0000)
Pm (0.0000, 0.2134, 0.3688)
La (0.5000, 0.7017, 0.2959)
Nd (0.5000, 0.1823, 0.1752)
Pm (0.0000, 0.7866, 0.6312)
Nd (0.0000, 0.3189, 0.8569)

## Properties
As for the electronic total energy: -4.7071 eV/atom. The energy relative to the elements is 83 meV/atom. Its density of states at the Fermi level is 17.11 states/eV/f.u. The energy above the lowest structure with this stoichiometry is 17 meV/atom. Its space group is No. 10.

=====

(5)
First-principles (PBE) data for an optimized crystal structure of La8Pm3Nd3, as listed in Alexandria.

abc: 5.8244 10.0158 10.0158
angles: 102.68 73.10 73.10
Sites, in units of the cell vectors:
La (0.3422, 0.8844, 0.4312)
Nd (0.0000, 0.8220, 0.1780)
Pm (0.1976, 0.8024, 0.8024)
La (0.1624, 0.4431, 0.2322)
Pm (0.8024, 0.1976, 0.1976)
La (0.8376, 0.7678, 0.5569)
La (0.8376, 0.5569, 0.7678)
La (0.6578, 0.1156, 0.5688)
Pm (0.5000, 0.5000, 0.5000)
Nd (0.0000, 0.1780, 0.8220)
La (0.1624, 0.2322, 0.4431)
Nd (0.5000, 0.0000, 0.0000)
La (0.3422, 0.4312, 0.8844)
La (0.6578, 0.5688, 0.1156)

## Properties
As for the electronic total energy: -4.7683 eV/atom. The energy relative to the elements is 87 meV/atom. Its density of states at the Fermi level is 19.29 states/eV/f.u. Its space group is No. 71.

=====

(6)
First-principles (PBE) data for an optimized crystal structure of LaPm2Nd4, as listed in Alexandria.

abc: 5.9475 9.3822 9.3822
angles: 90.00 90.00 90.00
Sites, in units of the cell vectors:
Nd (0.5000, 0.8977, 0.3635)
Nd (0.0000, 0.1365, 0.3977)
Pm (0.5000, 0.3144, 0.3144)
Nd (0.5000, 0.3635, 0.8977)
Pm (0.0000, 0.8144, 0.1856)
Pm (0.5000, 0.6856, 0.6856)
Nd (0.5000, 0.6365, 0.1023)
Nd (0.5000, 0.1023, 0.6365)
Nd (0.0000, 0.6023, 0.8635)
La (0.0000, 0.5000, 0.5000)
Pm (0.0000, 0.1856, 0.8144)
Nd (0.0000, 0.8635, 0.6023)
La (0.5000, 0.0000, 0.0000)
Nd (0.0000, 0.3977, 0.1365)

## Properties
As for the electronic total energy: -4.5772 eV/atom. The energy relative to the elements is 209 meV/atom. Its density of states at the Fermi level is 9.38 states/eV/f.u. The energy above the lowest structure with this stoichiometry is 0 meV/atom. Its space group is No. 136.

=====

(7)
First-principles (PBE) data for an optimized crystal structure of La2Pm8Nd, as listed in Alexandria.

abc: 5.7332 10.3901 10.3901
angles: 40.38 93.21 93.21
Sites, in units of the cell vectors:
Pm (0.7713, 0.8151, 0.8151)
Pm (0.2670, 0.1374, 0.6063)
La (0.2604, 0.7158, 0.7158)
Pm (0.2287, 0.1849, 0.1849)
Nd (0.0000, 0.0000, 0.0000)
Pm (0.7621, 0.4558, 0.4558)
Pm (0.7330, 0.3937, 0.8626)
Pm (0.2670, 0.6063, 0.1374)
La (0.7396, 0.2842, 0.2842)
Pm (0.7330, 0.8626, 0.3937)
Pm (0.2379, 0.5442, 0.5442)

## Properties
As for the electronic total energy: -4.6267 eV/atom. The energy relative to the elements is 158 meV/atom. Its density of states at the Fermi level is 17.11 states/eV/f.u. The energy above the lowest structure with this stoichiometry is 141 meV/atom. Its space group is No. 12.

=====

(8)
First-principles (PBE) data for an optimized crystal structure of La2PmNd12, as listed in Alexandria.

abc: 6.6414 6.6414 25.6576
angles: 90.00 90.00 90.00
Sites, in units of the cell vectors:
Nd (0.5000, 0.5000, 0.2150)
Nd (0.0000, 0.0000, 0.6619)
Nd (0.0000, 0.0000, 0.2150)
Nd (0.6873, 0.1873, 0.8863)
La (0.5000, 0.0000, 0.2656)
Nd (0.1680, 0.6680, 0.5617)
Pm (0.0000, 0.5000, 0.0000)
Nd (0.8127, 0.6873, 0.8863)
Nd (0.3320, 0.8320, 0.4383)
La (0.0000, 0.5000, 0.7344)
Nd (0.8320, 0.6680, 0.4383)
Nd (0.1680, 0.3320, 0.4383)
Nd (0.3320, 0.1680, 0.5617)
Nd (0.5000, 0.5000, 0.6619)
La (0.0000, 0.5000, 0.2656)
Nd (0.0000, 0.0000, 0.7850)
Nd (0.1873, 0.3127, 0.8863)
Nd (0.3127, 0.1873, 0.1137)
Nd (0.6680, 0.8320, 0.5617)
Nd (0.6873, 0.8127, 0.1137)
Nd (0.6680, 0.1680, 0.4383)
Nd (0.5000, 0.5000, 0.3381)
Nd (0.3127, 0.8127, 0.8863)
Nd (0.1873, 0.6873, 0.1137)
Nd (0.8320, 0.3320, 0.5617)
La (0.5000, 0.0000, 0.7344)
Nd (0.0000, 0.0000, 0.3381)
Nd (0.8127, 0.3127, 0.1137)
Nd (0.5000, 0.5000, 0.7850)
Pm (0.5000, 0.0000, 0.0000)

## Properties
As for the electronic total energy: -4.5008 eV/atom. The energy relative to the elements is 287 meV/atom. Its density of states at the Fermi level is 20.96 states/eV/f.u. Its space group is No. 125.

=====

(9)
First-principles (PBE) data for an optimized crystal structure of La3Pm2Nd8, as listed in Alexandria.

abc: 6.2930 11.9687 9.0261
angles: 131.53 73.02 90.00
Sites, in units of the cell vectors:
Nd (0.0465, 0.8415, 0.6830)
Nd (0.2162, 0.5575, 0.1150)
Nd (0.3214, 0.9198, 0.3508)
Pm (0.3579, 0.2918, 0.5836)
La (0.0000, 0.7618, 0.0000)
Nd (0.6786, 0.5691, 0.6492)
La (0.5000, 0.0000, 0.0000)
Nd (0.9535, 0.1585, 0.3170)
Pm (0.6421, 0.7082, 0.4164)
Nd (0.3214, 0.4309, 0.3508)
Nd (0.6786, 0.0802, 0.6492)
Nd (0.7838, 0.4425, 0.8850)
La (0.0000, 0.2382, 0.0000)

## Properties
As for the electronic total energy: -4.6650 eV/atom. The energy relative to the elements is 137 meV/atom. Its density of states at the Fermi level is 22.25 states/eV/f.u. The energy above the lowest structure with this stoichiometry is 0 meV/atom. Its space group is No. 12.

=====

(10)
First-principles (PBE) data for an optimized crystal structure of La3Pm12Nd, as listed in Alexandria.

abc: 5.1947 5.1947 20.7435
angles: 90.00 90.00 90.00
Sites, in units of the cell vectors:
Pm (0.5000, 0.5000, 0.7509)
Pm (0.0000, 0.5000, 0.3748)
Pm (0.0000, 0.5000, 0.6252)
Pm (0.5000, 0.5000, 0.0000)
La (0.0000, 0.0000, 0.7501)
Pm (0.0000, 0.5000, 0.1240)
Pm (0.5000, 0.0000, 0.8760)
Pm (0.5000, 0.0000, 0.1240)
Pm (0.5000, 0.0000, 0.6252)
Pm (0.0000, 0.5000, 0.8760)
Pm (0.5000, 0.5000, 0.5000)
Pm (0.5000, 0.5000, 0.2491)
La (0.0000, 0.0000, 0.2499)
Nd (0.0000, 0.0000, 0.0000)
Pm (0.5000, 0.0000, 0.3748)
La (0.0000, 0.0000, 0.5000)

## Properties
As for the electronic total energy: -4.7701 eV/atom. The energy relative to the elements is 15 meV/atom. Its density of states at the Fermi level is 26.22 states/eV/f.u. Its space group is No. 123.

=====

(11)
First-principles (PBE) data for an optimized crystal structure of La3PmNd, as listed in Alexandria.

abc: 6.1001 5.7863 12.2440
angles: 90.00 90.00 121.81
Sites, in units of the cell vectors:
Pm (0.7002, 0.4003, 0.7500)
La (0.3541, 0.7082, 0.6007)
La (0.0493, 0.0986, 0.7500)
La (0.6459, 0.2918, 0.3993)
Nd (0.0000, 0.0000, 0.5000)
La (0.6459, 0.2918, 0.1007)
Nd (0.0000, 0.0000, 0.0000)
La (0.3541, 0.7082, 0.8993)
La (0.9507, 0.9014, 0.2500)
Pm (0.2998, 0.5997, 0.2500)

## Properties
As for the electronic total energy: -4.6890 eV/atom. The energy relative to the elements is 171 meV/atom. Its density of states at the Fermi level is 7.49 states/eV/f.u. The energy above the lowest structure with this stoichiometry is 0 meV/atom. Its space group is No. 63.

=====

(12)
First-principles (PBE) data for an optimized crystal structure of LaPm4Nd, as listed in Alexandria.

abc: 6.7379 6.7379 6.7379
angles: 60.00 60.00 60.00
Sites, in units of the cell vectors:
Pm (0.1240, 0.6253, 0.6253)
La (0.2500, 0.2500, 0.2500)
Pm (0.6253, 0.6253, 0.6253)
Nd (0.0000, 0.0000, 0.0000)
Pm (0.6253, 0.1240, 0.6253)
Pm (0.6253, 0.6253, 0.1240)

## Properties
As for the electronic total energy: -4.5388 eV/atom. The energy relative to the elements is 244 meV/atom. Its density of states at the Fermi level is 11.04 states/eV/f.u. The energy above the lowest structure with this stoichiometry is 227 meV/atom. Its space group is No. 216.